Compound: Er3Mg3InGa2
Source: OQMD
Functional: PBE-GGA
Structure: optimized geometry

Cell: 4.5277 12.5859 7.2821 Å, 90.00 90.00 90.00°
Last column: nearest neighbours and their distance in Å.
Space group Amm2 (No. 38)
One atom of each set of equivalent atoms:
Er 0.0000 0.0000 0.0000 (multiplicity 2)  4 Ga 3.11, 1 In 3.18, 2 Mg 3.21
Er 0.0000 0.2189 0.6567 (multiplicity 4)  4 Ga 3.12, 1 In 3.19, 2 Mg 3.20
Mg 0.5000 0.0000 0.6877 (multiplicity 2)  2 Ga 2.77, 2 In 2.91
Mg 0.5000 0.1250 0.3125 (multiplicity 4)  2 Ga 2.78, 2 In 2.90
In 0.0000 0.0000 0.4364 (multiplicity 2)  6 Mg 2.90-2.91, 3 Er 3.18-3.19
Ga 0.5000 0.1661 0.9377 (multiplicity 4)  3 Mg 2.77-2.78

Calculated values
VASP energy, eV per atom: -3.461